The following is a PBE with a Hubbard U calculation of a relaxed structure of YAgW2O8, from Alexandria via LeMat-Bulk.

Cell lengths 10.0839, 10.9173, 7.3160 Å; angles 90.00, 127.22, 90.00 degrees
Last column: nearest neighbours and their distance in Å.
Space group C2/m (No. 12)
Inequivalent atoms, fractional coordinates:
Y 0.0000 0.2000 0.0000 x4  8 O 2.33-2.61
Ag 0.1864 0.0000 0.5179 x4  2 O 2.32-2.47
W 0.0000 0.3371 0.5000 x4  4 O 1.81-1.95
W 0.2130 0.5000 0.9725 x4  3 O 1.82-1.88
O 0.0211 0.5000 0.3408 x4  3 W 2.07-2.21
O 0.0485 0.2365 0.3509 x8  1 W 1.81
O 0.0539 0.0000 0.8594 x4  1 W 1.88
O 0.1717 0.3710 0.0899 x8  1 W 1.82
O 0.2282 0.3748 0.7600 x8  2 W 1.95-2.14

Output
**VASP energy**: -7.405 eV per atom
**Distance to the lowest polymorph of the same formula**: 0 meV/atom
**Mass density**: 7.17 g cm⁻³